1.
Computed, not measured: Nd2HfGe3Ir4 after structural relaxation at the PBE-GGA level of DFT.

Calculated values
**Total moment**: 0.00 Bohr magnetons per cell
**E_form**: -826 meV/atom
**D(E_F)**: 0.473 states/eV/atom
**Uncorrected energy**: -7.705 eV per atom

a b c (Å): 4.197 4.197 10.972
angles (deg): 90.00 90.00 90.00
Fractional positions:
Ir (0.500, 0.000, 0.647)
Ir (0.000, 0.000, 0.000)
Ir (0.000, 0.500, 0.353)
Ir (0.500, 0.500, 0.000)
Hf (0.500, 0.500, 0.500)
Ge (0.000, 0.000, 0.500)
Ge (0.500, 0.000, 0.874)
Ge (0.000, 0.500, 0.126)
Nd (0.000, 0.500, 0.765)
Nd (0.500, 0.000, 0.235)



2.
Computed, not measured: HfNiGeIr after structural relaxation at the PBE-GGA level of DFT.

Calculated values
**Total moment**: 0.00 Bohr magnetons per cell
**E_form**: -513 meV/atom
**D(E_F)**: 1.051 states/eV/atom
**Uncorrected energy**: -7.816 eV per atom

a b c (Å): 4.427 4.427 4.427
angles (deg): 60.00 60.00 60.00
Fractional positions:
Ir (0.500, 0.500, 0.500)
Hf (0.750, 0.750, 0.750)
Ge (0.250, 0.250, 0.250)
Ni (0.000, 0.000, 0.000)



3.
Computed, not measured: Hf2GePIr after structural relaxation at the PBE-GGA level of DFT.

Calculated values
**Total moment**: 0.00 Bohr magnetons per cell
**E_form**: 194 meV/atom
**D(E_F)**: 0.523 states/eV/atom
**Uncorrected energy**: -7.565 eV per atom

a b c (Å): 5.069 4.535 5.069
angles (deg): 90.00 90.00 90.00
Fractional positions:
Hf (0.000, 0.000, 0.500)
Hf (0.500, 0.000, 0.000)
Ge (0.000, 0.500, 0.000)
Ir (0.000, 0.000, 0.000)
P (0.500, 0.500, 0.500)



4.
Computed, not measured: HfPa2Ge3Ir4 after structural relaxation at the PBE-GGA level of DFT.

Calculated values
**Total moment**: 0.00 Bohr magnetons per cell
**E_form**: -733 meV/atom
**D(E_F)**: 0.575 states/eV/atom
**Uncorrected energy**: -8.557 eV per atom

a b c (Å): 4.086 4.086 11.168
angles (deg): 90.00 90.00 90.00
Fractional positions:
Ir (0.000, 0.000, 0.000)
Ir (0.500, 0.500, 0.000)
Ir (0.500, 0.000, 0.652)
Ir (0.000, 0.500, 0.348)
Ge (0.000, 0.500, 0.129)
Ge (0.500, 0.000, 0.871)
Ge (0.000, 0.000, 0.500)
Pa (0.500, 0.000, 0.229)
Pa (0.000, 0.500, 0.771)
Hf (0.500, 0.500, 0.500)



Which of these has the lowest uncorrected energy?
HfPa2Ge3Ir4